Tm6Cd5In: relaxed, PBE-GGA.

Lattice parameters (Å, degrees): 5.224 7.408 8.267 90.00 108.28 90.00
Space group P2/m (No. 10)
Inequivalent atoms, fractional coordinates:
Tm1 0.000 0.249 0.000 [2 per cell]
Tm2 0.333 0.248 0.666 [4 per cell]
Cd1 0.166 0.000 0.332 [2 per cell]
Cd2 0.169 0.500 0.338 [2 per cell]
Cd3 0.500 0.000 0.000 [1 per cell]
In1 0.500 0.500 0.000 [1 per cell]

E_form: -338 meV/atom
Magnetic moment: 0.0 μB per formula unit

=====

Tm4CdIn2: relaxed, PBE-GGA.

Lattice parameters (Å, degrees): 5.1832 5.1832 25.1678 90.00 90.00 120.00
Space group R-3m (No. 166, hexagonal axes)
Inequivalent atoms, fractional coordinates:
Tm1 0.0000 0.0000 0.1198 [6 per cell]
Tm2 0.0000 0.0000 0.3720 [6 per cell]
Cd1 0.0000 0.0000 0.5000 [3 per cell]
In1 0.0000 0.0000 0.2492 [6 per cell]

E_form: -256 meV/atom
Magnetic moment: 0.0 μB per formula unit

=====

Tm5CdIn6: relaxed, PBE-GGA.

Lattice parameters (Å, degrees): 4.734 8.920 14.406 90.00 90.00 90.00
Space group Immm (No. 71)
Inequivalent atoms, fractional coordinates:
Tm1 0.000 0.000 0.000 [2 per cell]
Tm2 0.000 0.000 0.350 [4 per cell]
Tm3 0.000 0.500 0.329 [4 per cell]
Cd1 0.000 0.500 0.000 [2 per cell]
In1 0.000 0.246 0.171 [8 per cell]
In2 0.000 0.258 0.500 [4 per cell]

E_form: -377 meV/atom
Magnetic moment: 0.0 μB per formula unit

=====

Tm5Cd6In: relaxed, PBE-GGA.

Lattice parameters (Å, degrees): 5.121 7.482 15.538 90.00 90.00 90.00
Space group Immm (No. 71)
Inequivalent atoms, fractional coordinates:
Tm1 0.000 0.000 0.000 [2 per cell]
Tm2 0.000 0.000 0.339 [4 per cell]
Tm3 0.000 0.500 0.330 [4 per cell]
Cd1 0.000 0.251 0.167 [8 per cell]
Cd2 0.000 0.254 0.500 [4 per cell]
In1 0.000 0.500 0.000 [2 per cell]

E_form: -277 meV/atom
Magnetic moment: 0.0 μB per formula unit

=====

Tm11Cd9In4: relaxed, PBE-GGA.

Lattice parameters (Å, degrees): 16.172 21.100 3.575 90.00 90.00 90.00
Space group Cmmm (No. 65)
Inequivalent atoms, fractional coordinates:
Tm1 0.000 0.000 0.000 [2 per cell]
Tm2 0.000 0.184 0.000 [4 per cell]
Tm3 0.000 0.360 0.000 [4 per cell]
Tm4 0.225 0.000 0.000 [4 per cell]
Tm5 0.232 0.170 0.000 [8 per cell]
Cd1 0.000 0.500 0.500 [2 per cell]
Cd2 0.106 0.091 0.500 [8 per cell]
Cd3 0.121 0.268 0.500 [8 per cell]
In1 0.150 0.419 0.500 [8 per cell]

E_form: -311 meV/atom
Magnetic moment: 0.0 μB per formula unit

=====

Tm7Cd2In2: relaxed, PBE-GGA.

Lattice parameters (Å, degrees): 7.302 11.072 8.127 90.00 90.00 90.00
Space group Cmmm (No. 65)
Inequivalent atoms, fractional coordinates:
Tm1 0.000 0.000 0.000 [2 per cell]
Tm2 0.000 0.500 0.231 [4 per cell]
Tm3 0.250 0.250 0.295 [8 per cell]
Cd1 0.000 0.280 0.000 [4 per cell]
In1 0.196 0.000 0.500 [4 per cell]

E_form: 33 meV/atom
Magnetic moment: 0.0 μB per formula unit

=====

TmCd6In: relaxed, PBE-GGA.

Lattice parameters (Å, degrees): 4.788 7.711 10.128 90.00 90.00 90.00
Space group Amm2 (No. 38)
Inequivalent atoms, fractional coordinates:
Tm1 0.000 0.000 0.000 [2 per cell]
Cd1 0.000 0.000 0.423 [2 per cell]
Cd2 0.000 0.200 0.710 [4 per cell]
Cd3 0.500 0.000 0.801 [2 per cell]
Cd4 0.500 0.210 0.508 [4 per cell]
In1 0.500 0.000 0.224 [2 per cell]

E_form: -119 meV/atom
Magnetic moment: 0.0 μB per formula unit

=====

Tm3Cd7In2: relaxed, PBE-GGA.

Lattice parameters (Å, degrees): 4.911 3.707 16.387 90.00 97.47 90.00
Space group P2/m (No. 10)
Inequivalent atoms, fractional coordinates:
Tm1 0.000 0.000 0.000 [1 per cell]
Tm2 0.311 0.500 0.632 [2 per cell]
Cd1 0.083 0.500 0.150 [2 per cell]
Cd2 0.233 0.000 0.462 [2 per cell]
Cd3 0.404 0.000 0.830 [2 per cell]
Cd4 0.500 0.500 0.000 [1 per cell]
In1 0.153 0.000 0.290 [2 per cell]

E_form: -153 meV/atom
Magnetic moment: 0.0 μB per formula unit

=====

Tm3Cd3In: relaxed, PBE-GGA.

Lattice parameters (Å, degrees): 3.506 4.858 20.732 90.00 90.00 90.00
Space group Imm2 (No. 44)
Inequivalent atoms, fractional coordinates:
Tm1 0.000 0.000 0.000 [2 per cell]
Tm2 0.000 0.000 0.405 [2 per cell]
Tm3 0.000 0.500 0.201 [2 per cell]
Cd1 0.000 0.000 0.557 [2 per cell]
Cd2 0.000 0.000 0.849 [2 per cell]
Cd3 0.000 0.500 0.632 [2 per cell]
In1 0.000 0.500 0.770 [2 per cell]

E_form: -296 meV/atom
Magnetic moment: 0.0 μB per formula unit

=====

Tm8CdIn2: relaxed, PBE-GGA.

Lattice parameters (Å, degrees): 5.078 8.461 14.361 90.00 90.00 90.00
Space group Immm (No. 71)
Inequivalent atoms, fractional coordinates:
Tm1 0.000 0.000 0.143 [4 per cell]
Tm2 0.000 0.214 0.345 [8 per cell]
Tm3 0.000 0.310 0.000 [4 per cell]
Cd1 0.000 0.500 0.500 [2 per cell]
In1 0.000 0.500 0.198 [4 per cell]

E_form: -140 meV/atom
Magnetic moment: 0.0 μB per formula unit

=====

TmCdIn: relaxed, PBE-GGA.

Lattice parameters (Å, degrees): 4.9054 4.9054 3.5069 90.00 90.00 120.00
Space group P-6m2 (No. 187)
Inequivalent atoms, fractional coordinates:
Tm1 0.0000 0.0000 0.0000 [1 per cell]
Cd1 0.3333 0.6667 0.5000 [1 per cell]
In1 0.6667 0.3333 0.5000 [1 per cell]

E_form: -341 meV/atom
Magnetic moment: 0.0 μB per formula unit

=====

TmCdIn: relaxed, PBE-GGA.

Lattice parameters (Å, degrees): 6.846 6.846 6.846 90.00 90.00 90.00
Space group F-43m (No. 216)
Inequivalent atoms, fractional coordinates:
Tm1 0.000 0.000 0.000 [4 per cell]
Cd1 0.250 0.250 0.750 [4 per cell]
In1 0.000 0.000 0.500 [4 per cell]

E_form: -224 meV/atom
Magnetic moment: 0.0 μB per formula unit

=====

Tm12CdIn3: relaxed, PBE-GGA.

Lattice parameters (Å, degrees): 4.785 4.785 19.168 90.00 90.00 90.00
Space group P4/mmm (No. 123)
Inequivalent atoms, fractional coordinates:
Tm1 0.000 0.000 0.000 [1 per cell]
Tm2 0.000 0.000 0.250 [2 per cell]
Tm3 0.000 0.000 0.500 [1 per cell]
Tm4 0.000 0.500 0.125 [4 per cell]
Tm5 0.000 0.500 0.375 [4 per cell]
Cd1 0.500 0.500 0.000 [1 per cell]
In1 0.500 0.500 0.250 [2 per cell]
In2 0.500 0.500 0.500 [1 per cell]

E_form: -215 meV/atom
Magnetic moment: 0.0 μB per formula unit

=====

Tm7CdIn4: relaxed, PBE-GGA.

Lattice parameters (Å, degrees): 14.326 5.571 11.034 90.00 127.49 90.00
Space group C2/m (No. 12)
Inequivalent atoms, fractional coordinates:
Tm1 0.000 0.000 0.000 [2 per cell]
Tm2 0.071 0.500 0.329 [4 per cell]
Tm3 0.159 0.000 0.595 [4 per cell]
Tm4 0.217 0.500 0.868 [4 per cell]
Cd1 0.000 0.500 0.000 [2 per cell]
In1 0.066 0.000 0.777 [4 per cell]
In2 0.203 0.000 0.339 [4 per cell]

E_form: -92 meV/atom
Magnetic moment: 0.0 μB per formula unit

=====

Tm3Cd4In: relaxed, PBE-GGA.

Lattice parameters (Å, degrees): 3.394 10.115 12.056 90.00 90.00 90.00
Space group Immm (No. 71)
Inequivalent atoms, fractional coordinates:
Tm1 0.000 0.000 0.000 [2 per cell]
Tm2 0.000 0.500 0.222 [4 per cell]
Cd1 0.000 0.260 0.372 [8 per cell]
In1 0.000 0.000 0.500 [2 per cell]

E_form: -168 meV/atom
Magnetic moment: 0.0 μB per formula unit

=====

Tm3CdIn3: relaxed, PBE-GGA.

Lattice parameters (Å, degrees): 11.265 4.695 14.618 90.00 107.86 90.00
Space group C2/m (No. 12)
Inequivalent atoms, fractional coordinates:
Tm1 0.034 0.000 0.380 [4 per cell]
Tm2 0.099 0.000 0.921 [4 per cell]
Tm3 0.227 0.000 0.216 [4 per cell]
Cd1 0.238 0.500 0.384 [4 per cell]
In1 0.010 0.500 0.230 [4 per cell]
In2 0.122 0.500 0.072 [4 per cell]
In3 0.130 0.500 0.553 [4 per cell]

E_form: -352 meV/atom
Magnetic moment: 0.0 μB per formula unit

=====

Tm3CdIn3: relaxed, PBE-GGA.

Lattice parameters (Å, degrees): 8.8047 8.8047 5.3432 90.00 90.00 120.00
Space group P6_3/m (No. 176)
Inequivalent atoms, fractional coordinates:
Tm1 0.0979 0.6412 0.2500 [6 per cell]
Cd1 0.3333 0.6667 0.7500 [2 per cell]
In1 0.0476 0.8094 0.7500 [6 per cell]

E_form: -276 meV/atom
Magnetic moment: 0.0 μB per formula unit

=====

Tm12Cd2In5: relaxed, PBE-GGA.

Lattice parameters (Å, degrees): 12.572 10.508 8.296 90.00 104.51 90.00
Space group C2/m (No. 12)
Inequivalent atoms, fractional coordinates:
Tm1 0.093 0.000 0.200 [4 per cell]
Tm2 0.107 0.500 0.659 [4 per cell]
Tm3 0.108 0.233 0.900 [8 per cell]
Tm4 0.161 0.327 0.312 [8 per cell]
Cd1 0.000 0.232 0.500 [4 per cell]
In1 0.000 0.500 0.000 [2 per cell]
In2 0.130 0.000 0.593 [4 per cell]
In3 0.243 0.500 0.038 [4 per cell]

E_form: -187 meV/atom
Magnetic moment: 0.0 μB per formula unit

=====

Tm2CdIn4: relaxed, PBE-GGA.

Lattice parameters (Å, degrees): 6.194 9.947 12.242 90.00 90.00 90.00
Space group Fmmm (No. 69)
Inequivalent atoms, fractional coordinates:
Tm1 0.000 0.000 0.142 [8 per cell]
Cd1 0.000 0.000 0.500 [4 per cell]
In1 0.250 0.250 0.000 [8 per cell]
In2 0.250 0.250 0.250 [8 per cell]

E_form: -140 meV/atom
Magnetic moment: 0.0 μB per formula unit

=====

TmCd3In: relaxed, PBE-GGA.

Lattice parameters (Å, degrees): 4.860 31.608 3.298 90.00 90.00 90.00
Space group Cmmm (No. 65)
Inequivalent atoms, fractional coordinates:
Tm1 0.000 0.178 0.000 [4 per cell]
Cd1 0.000 0.079 0.500 [4 per cell]
Cd2 0.000 0.271 0.500 [4 per cell]
Cd3 0.000 0.454 0.000 [4 per cell]
In1 0.000 0.364 0.500 [4 per cell]

E_form: -132 meV/atom
Magnetic moment: 0.0 μB per formula unit

=====

Tm5Cd3In: relaxed, PBE-GGA.

Lattice parameters (Å, degrees): 9.1266 9.1266 6.5619 90.00 90.00 120.00
Space group P6_3/mcm (No. 193)
Inequivalent atoms, fractional coordinates:
Tm1 0.0000 0.3014 0.2500 [6 per cell]
Tm2 0.3333 0.6667 0.0000 [4 per cell]
Cd1 0.0000 0.3666 0.7500 [6 per cell]
In1 0.0000 0.0000 0.0000 [2 per cell]

E_form: -255 meV/atom
Magnetic moment: 0.0 μB per formula unit